{
  "formula": "Na2PrSiTe4",
  "functional": "PBE-GGA",
  "state": "relaxed",
  "e_form_raw_ev_per_fu": -5.8,
  "spacegroup": "Imma (74)",
  "final_energy_ev_per_atom": -3.906,
  "lattice_angstrom": [[-4.245, 4.613, 6.344], [4.245, -4.613, 6.344], [4.245, 4.613, -6.344]],
  "species": ["Na", "Na", "Na", "Na", "Pr", "Pr", "Si", "Si", "Te", "Te", "Te", "Te", "Te", "Te", "Te", "Te"],
  "fractional_positions": [[0.000, 0.000, 0.000], [0.500, 0.000, 0.000], [0.500, 0.000, 0.500], [0.500, 0.500, 0.500], [0.000, 0.500, 0.500], [0.500, 0.500, 0.000], [0.000, 0.000, 0.500], [0.000, 0.500, 0.000], [0.213, 0.249, 0.963], [0.214, 0.751, 0.463], [0.230, 0.226, 0.496], [0.230, 0.734, 0.004], [0.770, 0.266, 0.996], [0.770, 0.774, 0.504], [0.786, 0.249, 0.537], [0.787, 0.751, 0.037]]
}